# 1
Compound: AgOs2W
Source: the Alexandria database
Functional: PBE
Structure: optimized geometry

Unit cell a=3.152 b=3.152 c=6.431 alpha=90.00 beta=90.00 gamma=90.00
Space group P4/mmm (No. 123)
One atom of each set of equivalent atoms:
Ag: 0.000 0.000 0.000 [1 per cell]
Os: 0.500 0.500 0.277 [2 per cell]
W: 0.000 0.000 0.500 [1 per cell]

Properties
Calculated formation energy (meV per atom): 526



# 2
Compound: AgOs2W
Source: the Alexandria database
Functional: PBE
Structure: optimized geometry

Unit cell a=7.282 b=7.282 c=5.368 alpha=90.00 beta=90.00 gamma=90.00
Space group I-42d (No. 122)
One atom of each set of equivalent atoms:
Ag: 0.000 0.000 0.000 [4 per cell]
Os: 0.207 0.250 0.625 [8 per cell]
W: 0.000 0.000 0.500 [4 per cell]

Properties
Calculated formation energy (meV per atom): 1022



Which electronic total energy belongs to each record? In order, -9.04; -8.54 eV/atom.
Which distance to the lowest polymorph of the same formula belongs to each record? In order, 234; 731 meV/atom.